A plane-wave DFT calculation with PBE was carried out for crystalline La3Nd4HoS8 at its relaxed geometry.

abc: 8.1723 8.1552 8.1724
angles: 120.07 120.00 90.00
With the nearest neighbours (Å) after each atom.
Atoms (fractional coordinates):
S: 0.2401 0.2537 0.9970  1 Ho 2.81, 3 Nd 2.87-2.97, 2 La 2.90-2.91
S: 0.2432 0.7463 0.4864  1 Ho 2.81, 3 Nd 2.87-2.96, 2 La 2.91
S: 0.7516 0.7549 0.5033  3 Nd 2.87, 3 La 2.91
S: 0.7568 0.2537 0.5136  1 Ho 2.81, 3 Nd 2.87-2.96, 2 La 2.91
S: 0.2432 0.7463 0.0030  1 Ho 2.81, 3 Nd 2.87-2.97, 2 La 2.90-2.91
S: 0.7568 0.2537 0.9970  1 Ho 2.81, 3 Nd 2.87-2.97, 2 La 2.90-2.91
S: 0.2484 0.2451 0.4967  3 Nd 2.87, 3 La 2.91
S: 0.7599 0.7463 0.0030  1 Ho 2.81, 3 Nd 2.87-2.97, 2 La 2.90-2.91
Ho: 0.0000 0.5000 0.0000  6 S 2.81
Nd: 0.5000 0.0000 0.0000  6 S 2.96-2.97
Nd: 0.0000 0.0000 0.5000  6 S 2.87
Nd: 0.5000 0.0000 0.5000  6 S 2.87
Nd: 0.0000 0.0000 0.0000  6 S 2.87
La: 0.5000 0.5000 0.5000  6 S 2.90-2.91
La: 0.0000 0.5000 0.5000  6 S 2.90-2.91
La: 0.5000 0.5000 0.0000  6 S 2.91

Properties
The calculation puts the formation energy from raw total energies at -199 kJ per mole of atoms. As for the crystal system: trigonal.

A plane-wave DFT calculation with PBE was carried out for crystalline LaNd3Ho2S6 at its relaxed geometry.

abc: 6.9667 6.9667 6.9831
angles: 99.59 99.59 120.12
With the nearest neighbours (Å) after each atom.
Atoms (fractional coordinates):
Nd: 0.1618 0.8382 0.5000  6 S 2.85-2.92
Nd: 0.5000 0.5000 0.5000  6 S 2.83-2.92
Nd: 0.8382 0.1618 0.5000  6 S 2.85-2.92
S: 0.0804 0.4263 0.2412  2 Ho 2.77-2.78, 3 Nd 2.85-2.92, 1 La 2.88
S: 0.4263 0.0804 0.2412  2 Ho 2.77-2.78, 3 Nd 2.85-2.92, 1 La 2.88
S: 0.2675 0.2675 0.7640  2 Ho 2.76, 3 Nd 2.83-2.90, 1 La 2.87
S: 0.7325 0.7325 0.2360  2 Ho 2.76, 3 Nd 2.83-2.90, 1 La 2.87
S: 0.5737 0.9196 0.7588  2 Ho 2.77-2.78, 3 Nd 2.85-2.92, 1 La 2.88
S: 0.9196 0.5737 0.7588  2 Ho 2.77-2.78, 3 Nd 2.85-2.92, 1 La 2.88
Ho: 0.6670 0.3330 0.0000  6 S 2.76-2.78
Ho: 0.3330 0.6670 0.0000  6 S 2.76-2.78
La: 0.0000 0.0000 0.0000  6 S 2.87-2.88

Properties
The calculation puts the formation energy from raw total energies at -196 kJ per mole of atoms. As for the crystal system: monoclinic.

A plane-wave DFT calculation with PBE was carried out for crystalline La2NdHoSb4 at its relaxed geometry.

abc: 4.5422 7.8526 7.8606
angles: 70.50 90.00 90.00
With the nearest neighbours (Å) after each atom.
Atoms (fractional coordinates):
La: 0.0000 0.0000 0.0000  6 Sb 3.27
La: 0.5000 0.0000 0.5000  6 Sb 3.23
Ho: 0.0000 0.5000 0.5000  6 Sb 3.15
Nd: 0.5000 0.5000 0.0000  6 Sb 3.19
Sb: 0.0000 0.2578 0.2519  1 Ho 3.15, 2 Nd 3.19, 3 La 3.23-3.27
Sb: 0.5000 0.2612 0.7418  2 Ho 3.15, 1 Nd 3.19, 3 La 3.23-3.27
Sb: 0.5000 0.7388 0.2582  2 Ho 3.15, 1 Nd 3.19, 3 La 3.23-3.27
Sb: 0.0000 0.7422 0.7481  1 Ho 3.15, 2 Nd 3.19, 3 La 3.23-3.27

Properties
The calculation puts the formation energy from raw total energies at -117 kJ per mole of atoms. As for the crystal system: monoclinic.

A plane-wave DFT calculation with PBE was carried out for crystalline LaNd2HoSb4 at its relaxed geometry.

abc: 4.5181 7.8200 7.8100
angles: 70.54 90.00 90.00
With the nearest neighbours (Å) after each atom.
Atoms (fractional coordinates):
Nd: 0.0000 0.0000 0.0000  6 Sb 3.23-3.24
Nd: 0.5000 0.0000 0.5000  6 Sb 3.17
Sb: 0.0000 0.2505 0.2564  1 Ho 3.15, 3 Nd 3.17-3.23, 2 La 3.21
Sb: 0.0000 0.7495 0.7436  1 Ho 3.15, 3 Nd 3.17-3.23, 2 La 3.21
Sb: 0.5000 0.7447 0.2581  2 Ho 3.15, 3 Nd 3.17-3.24, 1 La 3.21
Sb: 0.5000 0.2553 0.7419  2 Ho 3.15, 3 Nd 3.17-3.24, 1 La 3.21
Ho: 0.0000 0.5000 0.5000  6 Sb 3.15
La: 0.5000 0.5000 0.0000  6 Sb 3.21

Properties
The calculation puts the formation energy from raw total energies at -114 kJ per mole of atoms. As for the crystal system: monoclinic.